ScTc2Hg GGA-PBEsol relaxed; ΔH_f (0 K) = 0.244 eV per atom
1.0
2.921 0.000 0.000
0.000 4.261 0.000
0.000 0.000 5.613
Hg Tc Sc
1 2 1
Cartesian
1.461 2.130 0.000
0.000 0.000 1.678
0.000 0.000 3.935
1.461 2.130 2.806